1.
meta-GGA SCAN MgBe3S, single point on PBEsol structure; energy relative to the elements, uncorrected = 1.69 eV per atom; magnetic moment = 0.0 μB/cell; D(E_F) = 2.745 states/eV/f.u.
1.0
-2.616 -0.304 3.637
-1.671 -3.878 -1.526
3.245 -2.242 2.146
S Be Mg
1 3 1
direct
0.500 0.500 0.500
0.000 0.500 0.000
0.000 0.000 0.500
0.500 0.000 0.000
0.000 0.000 0.000

---

2.
meta-GGA SCAN Ba2HfRh, single point on PBEsol structure; formation energy from the elements = 870 meV/atom; magnetic moment = 0.0 μB/cell; D(E_F) = 5.389 states/eV/f.u.
1.0
-0.270 2.011 5.019
-4.735 0.106 2.622
-0.843 -3.310 4.200
Ba Hf Rh
2 1 1
direct
0.250 0.250 0.250
0.750 0.750 0.750
0.500 0.500 0.500
0.000 0.000 0.000

---

3.
meta-GGA SCAN HgPt2Br, single point on PBEsol structure; energy relative to the elements, uncorrected = 0.17 eV per atom; magnetic moment = 0.0 μB/cell; energy relative to the lowest polymorph listed for this composition = 0.000 eV/atom; D(E_F) = 3.097 states/eV/f.u.
1.0
3.562 0.000 0.000
1.781 3.085 0.000
1.781 1.028 7.523
Br Pt Hg
1 2 1
direct
0.481 0.481 0.558
0.747 0.747 0.760
0.011 0.011 0.968
0.262 0.262 0.213

---

4.
meta-GGA SCAN Zr, single point on PBEsol structure; formation energy from the elements = 14 meV/atom; magnetic moment = 0.0 μB/cell; energy relative to the lowest polymorph listed for this composition = 0.014 eV/atom; D(E_F) = 0.754 states/eV/f.u.
1.0
3.181 0.000 0.000
-1.591 2.755 0.000
0.000 0.000 5.114
Zr
2
direct
0.667 0.333 0.750
0.333 0.667 0.250

---

5.
meta-GGA SCAN AgSn3H, single point on PBEsol structure; uncorrected energy = -28.0760 eV per atom; magnetic moment = 0.0 μB/cell; D(E_F) = 1.529 states/eV/f.u.
1.0
4.632 0.000 0.000
0.000 4.632 0.000
0.000 0.000 4.632
Sn H Ag
3 1 1
direct
0.000 0.000 0.500
0.500 0.000 0.000
0.000 0.500 0.000
0.000 0.000 0.000
0.500 0.500 0.500

---

6.
meta-GGA SCAN Li6Sn2B4SO16, single point on PBEsol structure; energy relative to the elements, uncorrected = -2.25 eV per atom; magnetic moment = 0.3 μB/cell; D(E_F) = 0.000 states/eV/f.u.
1.0
9.438 0.000 0.000
4.719 8.173 0.000
4.719 2.724 7.706
O Li B S Sn
32 12 8 2 4
direct
0.753 0.045 0.292
0.045 0.911 0.292
0.292 0.911 0.753
0.685 0.944 0.685
0.565 0.565 0.565
0.753 0.911 0.045
0.565 0.306 0.565
0.911 0.292 0.045
0.944 0.685 0.685
0.205 0.497 0.339
0.339 0.497 0.958
0.958 0.339 0.497
0.497 0.205 0.958
0.911 0.045 0.753
0.339 0.205 0.497
0.958 0.205 0.339
0.753 0.292 0.911
0.306 0.565 0.565
0.685 0.685 0.944
0.205 0.958 0.497
0.911 0.753 0.292
0.045 0.292 0.753
0.339 0.958 0.205
0.292 0.045 0.911
0.292 0.753 0.045
0.045 0.753 0.911
0.958 0.497 0.205
0.685 0.685 0.685
0.497 0.339 0.205
0.497 0.958 0.339
0.565 0.565 0.306
0.205 0.339 0.958
0.717 0.717 0.283
0.967 0.533 0.533
0.717 0.283 0.717
0.967 0.533 0.967
0.533 0.533 0.967
0.533 0.967 0.967
0.717 0.283 0.283
0.967 0.967 0.533
0.283 0.717 0.717
0.283 0.283 0.717
0.283 0.717 0.283
0.533 0.967 0.533
0.347 0.347 0.347
0.958 0.347 0.347
0.347 0.958 0.347
0.292 0.903 0.903
0.903 0.903 0.292
0.903 0.292 0.903
0.903 0.903 0.903
0.347 0.347 0.958
0.500 0.500 0.500
0.750 0.750 0.750
0.125 0.625 0.125
0.125 0.125 0.625
0.625 0.125 0.125
0.125 0.125 0.125

---

7.
meta-GGA SCAN BaSm2ZnO5, single point on PBEsol structure; energy relative to the elements, uncorrected = -3.11 eV per atom; magnetic moment = 0.0 μB/cell; D(E_F) = 0.000 states/eV/f.u.
1.0
-5.673 -0.615 -0.902
-1.063 -0.556 7.066
-1.463 12.388 0.755
Zn Sm O Ba
4 8 20 4
direct
0.750 0.191 0.849
0.750 0.309 0.349
0.250 0.691 0.651
0.250 0.809 0.151
0.250 0.101 0.575
0.750 0.881 0.707
0.250 0.381 0.793
0.250 0.119 0.293
0.750 0.601 0.925
0.250 0.399 0.075
0.750 0.899 0.425
0.750 0.619 0.207
0.494 0.669 0.065
0.750 0.930 0.901
0.250 0.070 0.099
0.504 0.146 0.724
0.250 0.430 0.599
0.004 0.646 0.776
0.496 0.646 0.776
0.504 0.354 0.224
0.006 0.669 0.065
0.006 0.831 0.565
0.994 0.331 0.935
0.494 0.831 0.565
0.996 0.354 0.224
0.004 0.854 0.276
0.750 0.570 0.401
0.506 0.169 0.435
0.996 0.146 0.724
0.496 0.854 0.276
0.506 0.331 0.935
0.994 0.169 0.435
0.750 0.423 0.599
0.750 0.077 0.099
0.250 0.923 0.901
0.250 0.577 0.401

---

8.
meta-GGA SCAN La2TaW, single point on PBEsol structure; formation energy from the elements = 842 meV/atom; magnetic moment = 0.0 μB/cell; energy relative to the lowest polymorph listed for this composition = 0.000 eV/atom; D(E_F) = 4.536 states/eV/f.u.
1.0
2.898 0.000 0.000
0.000 5.770 0.000
0.000 -2.885 5.306
Ta W La
1 1 2
direct
0.500 0.000 0.000
0.500 0.500 0.000
0.000 0.500 0.500
0.000 0.000 0.500

---

9.
meta-GGA SCAN SiS2IN, single point on PBEsol structure; energy relative to the elements, uncorrected = 1.51 eV per atom; magnetic moment = 0.0 μB/cell; D(E_F) = 0.658 states/eV/f.u.
1.0
-3.833 0.275 0.545
0.014 -4.512 2.379
0.803 2.351 4.455
I S N Si
1 2 1 1
direct
0.000 0.000 0.000
0.000 0.500 0.000
0.000 0.000 0.500
0.500 0.000 0.000
0.500 0.500 0.500

---

10.
meta-GGA SCAN CrRhSN2, single point on PBEsol structure; energy relative to the elements, uncorrected = 0.75 eV per atom; magnetic moment = 3.9 μB/cell; energy relative to the lowest polymorph listed for this composition = 0.164 eV/atom; D(E_F) = 2.586 states/eV/f.u.
1.0
-1.500 -3.231 0.966
3.371 -1.423 0.476
-0.062 1.507 4.944
S Rh N Cr
1 1 2 1
direct
0.000 0.000 0.500
0.000 0.000 0.000
0.500 0.000 0.000
0.000 0.500 0.000
0.500 0.500 0.500

---

11.
meta-GGA SCAN CuSb2Br, single point on PBEsol structure; energy relative to the elements, uncorrected = 0.47 eV per atom; magnetic moment = 0.0 μB/cell; energy relative to the lowest polymorph listed for this composition = 0.385 eV/atom; D(E_F) = 1.510 states/eV/f.u.
1.0
-2.993 0.364 0.986
1.392 -1.585 4.811
1.045 4.971 1.335
Sb Br Cu
2 1 1
direct
0.000 0.000 0.500
0.000 0.500 0.000
0.500 0.500 0.500
0.500 0.000 0.000

---

12.
meta-GGA SCAN ZrMn2In, single point on PBEsol structure; formation energy from the elements = -91 meV/atom; magnetic moment = 7.2 μB/cell; D(E_F) = 2.737 states/eV/f.u.
1.0
4.594 0.000 0.000
2.297 3.979 0.000
2.297 1.326 3.751
Mn In Zr
2 1 1
direct
0.750 0.750 0.750
0.000 0.000 0.000
0.500 0.500 0.500
0.250 0.250 0.250

---

13.
meta-GGA SCAN KRuPb2, single point on PBEsol structure; formation energy from the elements = 197 meV/atom; magnetic moment = 0.0 μB/cell; D(E_F) = 2.991 states/eV/f.u.
1.0
3.259 0.000 0.000
0.000 4.264 0.000
-1.629 -2.132 8.027
K Pb Ru
1 2 1
direct
0.182 0.682 0.365
0.005 0.005 0.010
0.837 0.337 0.674
0.475 0.475 0.951

---

14.
meta-GGA SCAN Y2Rh, single point on PBEsol structure; formation energy from the elements = -653 meV/atom; magnetic moment = 0.0 μB/cell; D(E_F) = 2.330 states/eV/f.u.
1.0
9.208 0.000 0.000
4.604 7.975 0.000
4.604 2.658 7.519
Y Rh
16 8
direct
0.625 0.625 0.625
0.625 0.625 0.125
0.813 0.187 0.187
0.437 0.063 0.437
0.813 0.813 0.187
0.063 0.063 0.437
0.063 0.437 0.063
0.625 0.125 0.625
0.813 0.187 0.813
0.437 0.437 0.063
0.187 0.813 0.813
0.187 0.187 0.813
0.437 0.063 0.063
0.125 0.625 0.625
0.187 0.813 0.187
0.063 0.437 0.437
0.844 0.844 0.467
0.844 0.467 0.844
0.467 0.844 0.844
0.406 0.406 0.406
0.844 0.844 0.844
0.406 0.406 0.783
0.406 0.783 0.406
0.783 0.406 0.406

---

15.
meta-GGA SCAN NiIrW2, single point on PBEsol structure; formation energy from the elements = -141 meV/atom; magnetic moment = 0.0 μB/cell; D(E_F) = 2.719 states/eV/f.u.
1.0
-1.426 -0.805 2.154
-2.944 -0.970 -2.311
2.012 -4.911 -0.503
W Ir Ni
2 1 1
direct
0.000 0.000 0.255
0.000 0.000 0.745
0.500 0.500 0.000
0.500 0.500 0.500

---

16.
meta-GGA SCAN CsNb4Cl11, single point on PBEsol structure; energy relative to the elements, uncorrected = -1.56 eV per atom; magnetic moment = 0.0 μB/cell
1.0
-6.670 -1.518 -1.034
-0.726 -1.341 6.655
-3.903 15.334 2.665
Cl Nb Cs
22 8 2
direct
0.748 0.687 0.423
0.500 0.868 0.584
0.748 0.687 0.077
0.000 0.208 0.414
0.000 0.208 0.086
0.252 0.313 0.923
0.748 0.313 0.577
0.234 0.012 0.250
0.234 0.988 0.750
0.000 0.404 0.750
0.000 0.792 0.586
0.766 0.012 0.250
0.252 0.687 0.423
0.500 0.868 0.916
0.766 0.988 0.750
0.500 0.132 0.416
0.748 0.313 0.923
0.252 0.687 0.077
0.000 0.596 0.250
0.000 0.792 0.914
0.500 0.132 0.084
0.252 0.313 0.577
0.000 0.123 0.642
0.000 0.123 0.858
0.000 0.877 0.142
0.785 0.000 0.500
0.785 0.000 0.000
0.215 0.000 0.500
0.215 0.000 0.000
0.000 0.877 0.358
0.500 0.487 0.250
0.500 0.513 0.750

---

17.
meta-GGA SCAN AgAsPt2, single point on PBEsol structure; formation energy from the elements = -35 meV/atom; magnetic moment = 0.0 μB/cell; D(E_F) = 1.110 states/eV/f.u.
1.0
-2.373 2.674 -0.301
-3.156 -2.858 -0.508
2.170 0.024 4.475
Pt Ag As
2 1 1
direct
0.722 0.722 0.445
0.278 0.278 0.555
0.500 0.000 0.000
0.000 0.500 0.000

---

18.
meta-GGA SCAN SmGd3, single point on PBEsol structure; formation energy from the elements = 1 meV/atom; magnetic moment = 48.9 μB/cell; energy relative to the lowest polymorph listed for this composition = 0.000 eV/atom; D(E_F) = 2.426 states/eV/f.u.
1.0
5.687 0.000 0.000
0.000 7.118 0.000
0.000 -3.559 6.165
Gd Sm
6 2
direct
0.750 0.833 0.167
0.750 0.833 0.667
0.250 0.167 0.333
0.750 0.333 0.167
0.250 0.167 0.833
0.250 0.667 0.833
0.250 0.667 0.333
0.750 0.333 0.667

---

19.
meta-GGA SCAN CrTeRh2, single point on PBEsol structure; energy relative to the elements, uncorrected = 0.39 eV per atom; magnetic moment = 3.0 μB/cell; D(E_F) = 4.247 states/eV/f.u.
1.0
2.946 0.000 0.000
1.473 2.551 0.000
1.473 0.850 8.161
Te Rh Cr
1 2 1
direct
0.502 0.502 0.494
0.995 0.995 0.016
0.751 0.751 0.748
0.253 0.253 0.242

---

20.
meta-GGA SCAN Mg3CrP, single point on PBEsol structure; formation energy from the elements = 177 meV/atom; magnetic moment = 5.1 μB/cell; D(E_F) = 2.405 states/eV/f.u.
1.0
-1.487 -4.031 -2.303
4.155 -0.076 -2.549
2.072 -2.741 3.459
P Mg Cr
1 3 1
direct
0.000 0.000 0.000
0.000 0.000 0.500
0.000 0.500 0.000
0.500 0.000 0.000
0.500 0.500 0.500

---

Number 1: volume 90.5 Å³/cell. Number 2: volume 112.2 Å³/cell. Number 3: volume 82.7 Å³/cell. Number 4: volume 44.8 Å³/cell. Number 5: volume 99.4 Å³/cell. Number 6: volume 594.4 Å³/cell. Number 7: volume 517.5 Å³/cell. Number 8: volume 88.7 Å³/cell. Number 9: volume 101.0 Å³/cell. Number 10: volume 70.4 Å³/cell. Number 11: volume 87.5 Å³/cell. Number 12: volume 68.6 Å³/cell. Number 13: volume 111.5 Å³/cell. Number 14: volume 552.1 Å³/cell. Number 15: volume 55.8 Å³/cell. Number 16: volume 757.9 Å³/cell. Number 17: volume 63.3 Å³/cell. Number 18: volume 249.6 Å³/cell. Number 19: volume 61.3 Å³/cell. Number 20: volume 115.9 Å³/cell.